Entry from Alexandria via LeMat-Bulk: a geometry-optimized Li2CdHg2 structure (PBE).

Space group ... C2/m
Energy relative to the lowest polymorph listed for this composition ... 0.018 eV per atom
Density of states at the Fermi level ... 2.19 states/eV/f.u.
Energy of formation ... -123.8 kJ/mol of formula units
Size of the total moment ... 0.000 μB/cell

Cell and atoms, written as POSCAR:
```
Li2CdHg2
1.0
-4.7713 -0.1043 0.1185
0.1781 -5.6422 2.2068
2.4915 2.6287 6.4694
Li Cd Hg
4 2 4
Direct
0.8152 0.5002 0.6304 Li
0.1848 0.9998 0.3696 Li
0.8152 0.0002 0.6304 Li
0.1848 0.4998 0.3696 Li
0.0000 0.7500 0.0000 Cd
0.0000 0.2500 0.0000 Cd
0.3624 0.2513 0.7248 Hg
0.6376 0.2487 0.2752 Hg
0.3624 0.7513 0.7248 Hg
0.6376 0.7487 0.2752 Hg
```